{
  "formula": "MnAlIr2",
  "functional": "GGA-PBE",
  "state": "relaxed",
  "lattice_angstrom": [[-1.1104, -0.3046, 2.5182], [1.1305, -2.5202, 0.1937], [5.7996, 2.8243, 2.8991]],
  "species": ["Mn", "Ir", "Ir", "Al"],
  "fractional_positions": [[0.0000, 0.0000, 0.5000], [0.5000, 0.5000, 0.2698], [0.0000, 0.0000, 0.9854], [0.5000, 0.5000, 0.7447]],
  "final_energy_ev_per_fu": -31.72,
  "delta_e_f_ev_per_atom": -0.271,
  "total_magnetization_mub_per_fu": 1.052
}